(1)
## In2BiO (GGA-PBE)

Data for a relaxed In2BiO crystal.

Results
Uncorrected formation energy: -389 meV/atom
Calculated total energy: -63.49 eV for the cell shown
ΔE to the lowest computed polymorph: 0 meV/atom

a = 5.861 Å, b = 5.861 Å, c = 12.420 Å
α = 90.00°, β = 90.00°, γ = 90.00°
Space group I-42d (No. 122)
One atom of each set of equivalent atoms:
In1 0.146 0.250 0.125
Bi1 0.000 0.000 0.500
O1 0.000 0.000 0.000

(2)
## Sb2TePb (GGA-PBE)

Data for a relaxed Sb2TePb crystal.

Results
Uncorrected formation energy: -78 meV/atom
Calculated total energy: -15.41 eV for the cell shown
ΔE to the lowest computed polymorph: 64 meV/atom

a = 4.508 Å, b = 4.508 Å, c = 6.545 Å
α = 90.00°, β = 90.00°, γ = 90.00°
Space group P4mm (No. 99)
One atom of each set of equivalent atoms:
Sb1 0.000 0.000 0.000
Sb2 0.500 0.500 0.040
Te1 0.000 0.000 0.556
Pb1 0.500 0.500 0.514

(3)
## Zr2GeN (GGA-PBE)

Data for a relaxed Zr2GeN crystal.

Results
Uncorrected formation energy: -812 meV/atom
Calculated total energy: -133.15 eV for the cell shown

a = 6.443 Å, b = 6.443 Å, c = 6.943 Å
α = 90.00°, β = 90.00°, γ = 90.00°
Space group I-42d (No. 122)
One atom of each set of equivalent atoms:
Zr1 0.168 0.250 0.125
Ge1 0.000 0.000 0.500
N1 0.000 0.000 0.000

(4)
## SmPaCo2 (GGA-PBE)

Data for a relaxed SmPaCo2 crystal.

Results
Calculated total energy: -59.57 eV for the cell shown
ΔH_f (0 K): -0.3398 eV/atom
ΔE to the lowest computed polymorph: 0 meV/atom

a = 5.235 Å, b = 4.315 Å, c = 7.250 Å
α = 90.00°, β = 109.10°, γ = 90.00°
Space group P2_1/m (No. 11)
One atom of each set of equivalent atoms:
Sm1 0.239 0.250 0.433
Pa1 0.207 0.250 0.920
Co1 0.307 0.750 0.145
Co2 0.338 0.750 0.771